No. 1
# ZnNi2Ag

A relaxed ZnNi2Ag crystal (PBE-GGA, Alexandria).

Cell lengths 3.4765, 2.7115, 6.2670 Å; angles 64.47, 90.00, 90.00 degrees
Last column: nearest neighbours and their distance in Å.
Fractional positions:
Ni 0.5000 0.2560 0.2443  6 Ni 2.51-2.71, 4 Zn 2.54, 1 Ag 2.75
Ni 0.0000 0.9691 0.0308  1 Zn 2.47, 6 Ni 2.51-2.71, 4 Ag 2.69
Zn 0.0000 0.5330 0.4676  5 Ni 2.47-2.54, 2 Zn 2.71, 4 Ag 2.74-2.75
Ag 0.5000 0.7420 0.7573  6 Ni 2.69-2.90, 2 Ag 2.71, 4 Zn 2.74-2.75

Values from the calculation:
electronic total energy	-3.886	eV per atom
total magnetic moment	0.0	Bohr magnetons per cell
energy of formation from the pure elements	0.04	eV/atom
symmetry	Pm, No. 6



No. 2
# Zn2NiAg

A relaxed Zn2NiAg crystal (PBE-GGA, Alexandria).

Cell lengths 2.8538, 2.8538, 6.9727 Å; angles 90.00, 90.00, 90.00 degrees
Last column: nearest neighbours and their distance in Å.
Fractional positions:
Zn 0.0000 0.0000 0.9660  4 Ni 2.52
Zn 0.0000 0.0000 0.5340  4 Ni 2.52
Ag 0.5000 0.5000 0.2500  8 Zn 2.83, 4 Ag 2.85
Ni 0.5000 0.5000 0.7500  8 Zn 2.52

Values from the calculation:
electronic total energy	-2.922	eV per atom
total magnetic moment	0.0	Bohr magnetons per cell
energy of formation from the pure elements	-0.13	eV/atom
symmetry	P4/mmm, No. 123



No. 3
# Zn3NiAg

A relaxed Zn3NiAg crystal (PBE-GGA, Alexandria).

Cell lengths 4.5402, 4.5402, 4.5402 Å; angles 90.00, 90.00, 90.00 degrees
Last column: nearest neighbours and their distance in Å.
Fractional positions:
Zn 0.0000 0.5000 0.0000  2 Ni 2.27
Zn 0.0000 0.0000 0.5000  2 Ni 2.27
Zn 0.5000 0.0000 0.0000  2 Ni 2.27
Ni 0.0000 0.0000 0.0000  6 Zn 2.27
Ag 0.5000 0.5000 0.5000  12 Zn 3.21

Values from the calculation:
electronic total energy	-2.227	eV per atom
total magnetic moment	0.0	Bohr magnetons per cell
energy of formation from the pure elements	0.26	eV/atom
energy relative to the lowest polymorph listed for this composition	0	kJ/mol of formula units
symmetry	Pm-3m, No. 221



No. 4
# Zn2NiAg

A relaxed Zn2NiAg crystal (PBE-GGA, Alexandria).

Cell lengths 2.7942, 3.6930, 5.5703 Å; angles 90.00, 90.00, 90.00 degrees
Last column: nearest neighbours and their distance in Å.
Fractional positions:
Ni 0.5000 0.5000 0.7836  5 Zn 2.55, 2 Ni 2.79, 4 Ag 2.80
Zn 0.5000 0.5000 0.2414  1 Ni 2.55, 4 Ag 2.73, 6 Zn 2.75-2.79
Zn 0.0000 0.0000 0.9751  4 Ni 2.55, 1 Ag 2.65, 6 Zn 2.75-2.79
Ag 0.0000 0.0000 0.4998  6 Zn 2.65-2.92, 2 Ag 2.79, 4 Ni 2.80

Values from the calculation:
electronic total energy	-2.819	eV per atom
total magnetic moment	0.0	Bohr magnetons per cell
energy of formation from the pure elements	-0.02	eV/atom
symmetry	Pmm2, No. 25